(1)
This record from Alexandria describes a geometry-optimized Hf3TlTe6 structure. The functional is PBE.

abc: 12.712 3.992 12.822
angles: 90.00 107.19 90.00
Positions (direct):
Hf (0.022, 0.250, 0.141)
Hf (0.201, 0.250, 0.771)
Hf (0.351, 0.750, 0.459)
Hf (0.649, 0.250, 0.541)
Hf (0.799, 0.750, 0.229)
Hf (0.978, 0.750, 0.859)
Tl (0.399, 0.750, 0.122)
Tl (0.601, 0.250, 0.878)
Te (0.043, 0.750, 0.663)
Te (0.141, 0.250, 0.973)
Te (0.179, 0.750, 0.249)
Te (0.253, 0.250, 0.558)
Te (0.367, 0.750, 0.854)
Te (0.453, 0.250, 0.356)
Te (0.547, 0.750, 0.644)
Te (0.633, 0.250, 0.146)
Te (0.747, 0.750, 0.442)
Te (0.821, 0.250, 0.751)
Te (0.859, 0.750, 0.027)
Te (0.957, 0.250, 0.337)

Properties
SG   P2_1/m, No. 11

***

(2)
This record from Alexandria describes a geometry-optimized HfTl2Te structure. The functional is PBE.

abc: 12.440 12.440 12.440
angles: 160.20 160.20 28.15
Positions (direct):
Hf (0.000, 0.000, 0.000)
Hf (0.750, 0.250, 0.500)
Tl (0.119, 0.625, 0.994)
Tl (0.375, 0.369, 0.494)
Tl (0.631, 0.125, 0.006)
Tl (0.875, 0.881, 0.506)
Te (0.250, 0.750, 0.500)
Te (0.500, 0.500, 0.000)

Properties
SG   I-42d, No. 122
Excess energy over the best structure of this formula in the dataset   0.000 eV/atom

***

(3)
This record from Alexandria describes a geometry-optimized Hf3Tl2Te6 structure. The functional is PBE.

abc: 6.965 6.965 8.924
angles: 97.56 97.56 120.04
Positions (direct):
Hf (0.000, 0.000, 0.000)
Hf (0.330, 0.670, 0.000)
Hf (0.670, 0.330, 0.000)
Tl (0.166, 0.834, 0.500)
Tl (0.834, 0.166, 0.500)
Te (0.072, 0.403, 0.205)
Te (0.267, 0.267, 0.798)
Te (0.403, 0.072, 0.205)
Te (0.597, 0.928, 0.795)
Te (0.733, 0.733, 0.202)
Te (0.928, 0.597, 0.795)

Properties
SG   C2/m, No. 12

***

(4)
This record from Alexandria describes a geometry-optimized Hf6TlTe12 structure. The functional is PBE.

abc: 8.769 8.769 8.769
angles: 107.97 107.97 107.97
Positions (direct):
Hf (0.268, 0.714, 0.714)
Hf (0.286, 0.286, 0.732)
Hf (0.286, 0.732, 0.286)
Hf (0.714, 0.268, 0.714)
Hf (0.714, 0.714, 0.268)
Hf (0.732, 0.286, 0.286)
Tl (0.000, 0.000, 0.000)
Te (0.116, 0.500, 0.884)
Te (0.116, 0.884, 0.500)
Te (0.136, 0.398, 0.398)
Te (0.398, 0.136, 0.398)
Te (0.398, 0.398, 0.136)
Te (0.500, 0.116, 0.884)
Te (0.500, 0.884, 0.116)
Te (0.602, 0.602, 0.864)
Te (0.602, 0.864, 0.602)
Te (0.864, 0.602, 0.602)
Te (0.884, 0.116, 0.500)
Te (0.884, 0.500, 0.116)

Properties
SG   R-3m, No. 166

***

(5)
This record from Alexandria describes a geometry-optimized HfTl2Te structure. The functional is PBE.

abc: 5.382 5.382 5.382
angles: 60.00 60.00 60.00
Positions (direct):
Hf (0.000, 0.000, 0.000)
Tl (0.250, 0.250, 0.250)
Tl (0.750, 0.750, 0.750)
Te (0.500, 0.500, 0.500)

Properties
SG   Fm-3m, No. 225
Excess energy over the best structure of this formula in the dataset   0.338 eV/atom

***

(6)
This record from Alexandria describes a geometry-optimized Hf3TlTe structure. The functional is PBE.

abc: 5.237 5.237 5.237
angles: 90.00 90.00 90.00
Positions (direct):
Hf (0.000, 0.000, 0.500)
Hf (0.000, 0.500, 0.000)
Hf (0.500, 0.000, 0.000)
Tl (0.500, 0.500, 0.500)
Te (0.000, 0.000, 0.000)

Properties
SG   Pm-3m, No. 221
Excess energy over the best structure of this formula in the dataset   0.000 eV/atom

***

(7)
This record from Alexandria describes a geometry-optimized Hf2Tl2Te structure. The functional is PBE.

abc: 8.097 8.097 8.097
angles: 150.78 150.78 41.80
Positions (direct):
Hf (0.097, 0.097, 0.000)
Hf (0.903, 0.903, 0.000)
Tl (0.250, 0.750, 0.500)
Tl (0.750, 0.250, 0.500)
Te (0.500, 0.500, 0.000)

Properties
SG   I4/mmm, No. 139
Excess energy over the best structure of this formula in the dataset   0.245 eV/atom

***

(8)
This record from Alexandria describes a geometry-optimized HfTlTe4 structure. The functional is PBE.

abc: 8.225 8.225 7.343
angles: 111.86 111.86 96.39
Positions (direct):
Hf (0.001, 0.999, 0.750)
Hf (0.999, 0.001, 0.250)
Tl (0.376, 0.624, 0.750)
Tl (0.624, 0.376, 0.250)
Te (0.028, 0.696, 0.377)
Te (0.184, 0.306, 0.206)
Te (0.304, 0.972, 0.123)
Te (0.306, 0.184, 0.706)
Te (0.694, 0.816, 0.294)
Te (0.696, 0.028, 0.877)
Te (0.816, 0.694, 0.794)
Te (0.972, 0.304, 0.623)

Properties
SG   C2/c, No. 15

***

(9)
This record from Alexandria describes a geometry-optimized Hf2TlTe4 structure. The functional is PBE.

abc: 16.392 16.392 16.392
angles: 13.92 13.92 13.92
Positions (direct):
Hf (0.071, 0.071, 0.071)
Hf (0.929, 0.929, 0.929)
Tl (0.500, 0.500, 0.500)
Te (0.225, 0.225, 0.225)
Te (0.369, 0.369, 0.369)
Te (0.631, 0.631, 0.631)
Te (0.775, 0.775, 0.775)

Properties
SG   R-3m, No. 166

***

(10)
This record from Alexandria describes a geometry-optimized Hf2Tl2Te structure. The functional is PBE.

abc: 7.488 7.488 4.465
angles: 90.00 90.00 90.00
Positions (direct):
Hf (0.143, 0.357, 0.000)
Hf (0.357, 0.857, 0.000)
Hf (0.643, 0.143, 0.000)
Hf (0.857, 0.643, 0.000)
Tl (0.161, 0.661, 0.500)
Tl (0.339, 0.161, 0.500)
Tl (0.661, 0.839, 0.500)
Tl (0.839, 0.339, 0.500)
Te (0.000, 0.000, 0.000)
Te (0.500, 0.500, 0.000)

Properties
SG   P4/mbm, No. 127
Excess energy over the best structure of this formula in the dataset   0.000 eV/atom

***

(11)
This record from Alexandria describes a geometry-optimized Tm3HfTl3Te8 structure. The functional is PBE.

abc: 9.696 9.696 9.696
angles: 52.81 52.81 52.81
Positions (direct):
Tm (0.000, 0.500, 0.500)
Tm (0.500, 0.000, 0.500)
Tm (0.500, 0.500, 0.000)
Hf (0.000, 0.000, 0.000)
Tl (0.000, 0.000, 0.500)
Tl (0.000, 0.500, 0.000)
Tl (0.500, 0.000, 0.000)
Te (0.229, 0.229, 0.748)
Te (0.229, 0.748, 0.229)
Te (0.252, 0.771, 0.771)
Te (0.263, 0.263, 0.263)
Te (0.737, 0.737, 0.737)
Te (0.748, 0.229, 0.229)
Te (0.771, 0.252, 0.771)
Te (0.771, 0.771, 0.252)

Properties
SG   R-3m, No. 166

***

(12)
This record from Alexandria describes a geometry-optimized Tm3HfTl4Te8 structure. The functional is PBE.

abc: 9.627 9.627 9.627
angles: 53.51 53.51 53.51
Positions (direct):
Tm (0.000, 0.500, 0.500)
Tm (0.500, 0.000, 0.500)
Tm (0.500, 0.500, 0.000)
Hf (0.000, 0.000, 0.000)
Tl (0.000, 0.000, 0.500)
Tl (0.000, 0.500, 0.000)
Tl (0.500, 0.000, 0.000)
Tl (0.500, 0.500, 0.500)
Te (0.230, 0.230, 0.748)
Te (0.230, 0.748, 0.230)
Te (0.252, 0.770, 0.770)
Te (0.263, 0.263, 0.263)
Te (0.737, 0.737, 0.737)
Te (0.748, 0.230, 0.230)
Te (0.770, 0.252, 0.770)
Te (0.770, 0.770, 0.252)

Properties
SG   R-3m, No. 166

***

(13)
This record from Alexandria describes a geometry-optimized Hf2UTl3Te6 structure. The functional is PBE.

abc: 7.225 7.225 8.858
angles: 97.85 97.85 120.00
Positions (direct):
Hf (0.170, 0.830, 0.000)
Hf (0.830, 0.170, 0.000)
U (0.500, 0.500, 0.000)
Tl (0.000, 0.000, 0.500)
Tl (0.343, 0.657, 0.500)
Tl (0.657, 0.343, 0.500)
Te (0.078, 0.429, 0.791)
Te (0.215, 0.215, 0.202)
Te (0.429, 0.078, 0.791)
Te (0.571, 0.922, 0.209)
Te (0.785, 0.785, 0.798)
Te (0.922, 0.571, 0.209)

Properties
SG   C2/m, No. 12

***

(14)
This record from Alexandria describes a geometry-optimized Hf3UTl3Te8 structure. The functional is PBE.

abc: 8.205 8.205 9.719
angles: 114.87 114.87 60.07
Positions (direct):
Hf (0.000, 0.000, 0.000)
Hf (0.000, 0.500, 0.000)
Hf (0.500, 0.000, 0.000)
U (0.500, 0.500, 0.000)
Tl (0.000, 0.500, 0.500)
Tl (0.500, 0.000, 0.500)
Tl (0.500, 0.500, 0.500)
Te (0.220, 0.746, 0.211)
Te (0.234, 0.234, 0.202)
Te (0.254, 0.780, 0.789)
Te (0.255, 0.255, 0.789)
Te (0.745, 0.745, 0.211)
Te (0.746, 0.220, 0.211)
Te (0.766, 0.766, 0.798)
Te (0.780, 0.254, 0.789)

Properties
SG   C2/m, No. 12

***

(15)
This record from Alexandria describes a geometry-optimized HfU3Tl3Te8 structure. The functional is PBE.

abc: 8.638 8.638 9.811
angles: 116.16 116.16 59.87
Positions (direct):
Hf (0.000, 0.000, 0.000)
U (0.000, 0.500, 0.000)
U (0.500, 0.000, 0.000)
U (0.500, 0.500, 0.000)
Tl (0.000, 0.000, 0.500)
Tl (0.000, 0.500, 0.500)
Tl (0.500, 0.000, 0.500)
Te (0.227, 0.227, 0.208)
Te (0.227, 0.754, 0.209)
Te (0.246, 0.773, 0.791)
Te (0.259, 0.259, 0.779)
Te (0.741, 0.741, 0.221)
Te (0.754, 0.227, 0.209)
Te (0.773, 0.246, 0.791)
Te (0.773, 0.773, 0.792)

Properties
SG   C2/m, No. 12

***

(16)
This record from Alexandria describes a geometry-optimized Hf2UTl2Te6 structure. The functional is PBE.

abc: 7.197 7.197 8.762
angles: 97.44 97.44 120.09
Positions (direct):
Hf (0.168, 0.832, 0.000)
Hf (0.832, 0.168, 0.000)
U (0.500, 0.500, 0.000)
Tl (0.342, 0.658, 0.500)
Tl (0.658, 0.342, 0.500)
Te (0.083, 0.433, 0.791)
Te (0.212, 0.212, 0.208)
Te (0.433, 0.083, 0.791)
Te (0.567, 0.917, 0.209)
Te (0.788, 0.788, 0.792)
Te (0.917, 0.567, 0.209)

Properties
SG   C2/m, No. 12

***

(17)
This record from Alexandria describes a geometry-optimized Y3HfTl3Te8 structure. The functional is PBE.

abc: 9.703 9.703 9.703
angles: 53.34 53.34 53.34
Positions (direct):
Y (0.000, 0.500, 0.500)
Y (0.500, 0.000, 0.500)
Y (0.500, 0.500, 0.000)
Hf (0.000, 0.000, 0.000)
Tl (0.000, 0.000, 0.500)
Tl (0.000, 0.500, 0.000)
Tl (0.500, 0.000, 0.000)
Te (0.227, 0.227, 0.752)
Te (0.227, 0.752, 0.227)
Te (0.248, 0.773, 0.773)
Te (0.262, 0.262, 0.262)
Te (0.738, 0.738, 0.738)
Te (0.752, 0.227, 0.227)
Te (0.773, 0.248, 0.773)
Te (0.773, 0.773, 0.248)

Properties
SG   R-3m, No. 166

***

(18)
This record from Alexandria describes a geometry-optimized HfZr2Tl2Te6 structure. The functional is PBE.

abc: 6.986 6.986 8.908
angles: 97.66 97.66 120.05
Positions (direct):
Hf (0.000, 0.000, 0.000)
Zr (0.330, 0.670, 0.000)
Zr (0.670, 0.330, 0.000)
Tl (0.167, 0.833, 0.500)
Tl (0.833, 0.167, 0.500)
Te (0.074, 0.401, 0.208)
Te (0.262, 0.262, 0.794)
Te (0.401, 0.074, 0.208)
Te (0.599, 0.926, 0.792)
Te (0.738, 0.738, 0.206)
Te (0.926, 0.599, 0.792)

Properties
SG   C2/m, No. 12

***

(19)
This record from Alexandria describes a geometry-optimized HfZr3Tl3Te8 structure. The functional is PBE.

abc: 9.814 9.814 9.814
angles: 48.57 48.57 48.57
Positions (direct):
Hf (0.000, 0.000, 0.000)
Zr (0.000, 0.500, 0.500)
Zr (0.500, 0.000, 0.500)
Zr (0.500, 0.500, 0.000)
Tl (0.000, 0.000, 0.500)
Tl (0.000, 0.500, 0.000)
Tl (0.500, 0.000, 0.000)
Te (0.235, 0.235, 0.737)
Te (0.235, 0.737, 0.235)
Te (0.263, 0.765, 0.765)
Te (0.264, 0.264, 0.264)
Te (0.736, 0.736, 0.736)
Te (0.737, 0.235, 0.235)
Te (0.765, 0.263, 0.765)
Te (0.765, 0.765, 0.263)

Properties
SG   R-3m, No. 166

***

(20)
This record from Alexandria describes a geometry-optimized Tm3HfTe6 structure. The functional is PBE.

abc: 8.790 8.790 8.790
angles: 89.92 89.92 89.92
Positions (direct):
Tm (0.085, 0.579, 0.237)
Tm (0.237, 0.085, 0.579)
Tm (0.421, 0.763, 0.915)
Tm (0.579, 0.237, 0.085)
Tm (0.763, 0.915, 0.421)
Tm (0.915, 0.421, 0.763)
Hf (0.000, 0.000, 0.000)
Hf (0.500, 0.500, 0.500)
Te (0.080, 0.692, 0.903)
Te (0.097, 0.920, 0.308)
Te (0.185, 0.419, 0.543)
Te (0.308, 0.097, 0.920)
Te (0.419, 0.543, 0.185)
Te (0.457, 0.815, 0.581)
Te (0.543, 0.185, 0.419)
Te (0.581, 0.457, 0.815)
Te (0.692, 0.903, 0.080)
Te (0.815, 0.581, 0.457)
Te (0.903, 0.080, 0.692)
Te (0.920, 0.308, 0.097)

Properties
SG   R-3, No. 148

***

The records above give, respectively, E_tot values of -5.7966; -4.2926; -5.5198; -5.7098; -3.9548; -6.2106; -5.3688; -4.5494; -5.6681; -5.6133; -4.6845; -4.5147; -5.2971; -5.4927; -5.6266; -5.6011; -5.1130; -5.3180; -5.2181; -5.2978 eV per atom.
The records above give, respectively, formation energy from raw total energies values of -689.0; 164.4; -661.4; -457.9; 502.1; 863.1; 187.5; -401.7; -691.0; -57.1; -977.8; -891.8; -535.1; -600.7; -556.6; -621.4; -1007.8; -715.0; -696.1; -1076.0 meV per atom.